(1)
YCoBr | GGA-PBE | optimized geometry

Summary:
Space-group type   No. 166
Crystal system   trigonal

abc: 11.7492 11.7492 11.7492
angles: 19.13 19.13 19.13
Sites, in units of the cell vectors:
Co 0.8351 0.8351 0.8351
Br 0.7240 0.7240 0.7240
Y 0.5539 0.5539 0.5539
Y 0.4461 0.4461 0.4461
Co 0.1649 0.1649 0.1649
Br 0.2760 0.2760 0.2760

(2)
ScZnCuB | GGA-PBE | optimized geometry

Summary:
Space-group type   No. 216
Crystal system   cubic
Energy above the most stable polymorph in this dataset   43.8 meV per atom

abc: 4.1986 4.1986 4.1986
angles: 60.00 60.00 60.00
Sites, in units of the cell vectors:
Zn 0.5000 0.5000 0.5000
Sc 0.2500 0.2500 0.2500
Cu 0.7500 0.7500 0.7500
B 0.0000 0.0000 0.0000

(3)
RbCdBiS3 | GGA-PBE | optimized geometry

Summary:
Space-group type   No. 63
Crystal system   orthorhombic

abc: 7.7919 7.7919 11.0046
angles: 90.00 90.00 148.59
Sites, in units of the cell vectors:
Cd 0.9578 0.0422 0.7500
S 0.5612 0.4388 0.7500
S 0.1245 0.8755 0.4490
Rb 0.7602 0.2398 0.2500
S 0.4388 0.5612 0.2500
Rb 0.2398 0.7602 0.7500
Bi 0.5000 0.5000 0.0000
Cd 0.0422 0.9578 0.2500
S 0.8755 0.1245 0.9490
Bi 0.5000 0.5000 0.5000
S 0.1245 0.8755 0.0510
S 0.8755 0.1245 0.5510

(4)
PrSmIr2C2N2 | GGA-PBE | optimized geometry

Summary:
Space-group type   No. 99
Crystal system   tetragonal

abc: 3.7779 3.7779 7.5009
angles: 90.00 90.00 90.00
Sites, in units of the cell vectors:
C 0.0000 0.0000 0.6548
N 0.0000 0.0000 0.8401
N 0.5000 0.5000 0.1574
Ir 0.0000 0.5000 0.5028
Sm 0.5000 0.5000 0.8305
Ir 0.5000 0.0000 0.5028
C 0.5000 0.5000 0.3422
Pr 0.0000 0.0000 0.1693

| no. | total DFT energy (no corrections) (eV/atom) | V (Å³ per atom) |
| --- | --- | --- |
| 1 | -6.10 | 25.37 |
| 2 | -4.39 | 13.08 |
| 3 | -3.74 | 29.02 |
| 4 | -8.26 | 13.38 |